Entry 1:
{"formula": "CdAgTe2", "functional": "PBE-GGA", "state": "optimized geometry", "cell": [[-6.671, -2.034, 1.829], [-2.613, -3.375, 5.812], [4.214, 5.283, -2.516]], "species": ["Cd", "Te", "Te", "Ag"], "frac_coords": [[0.750, 0.250, 0.500], [0.000, 0.000, 0.000], [0.250, 0.750, 0.500], [0.500, 0.500, 0.000]], "m_tot_mub_per_fu": 0.000, "dos_ef_per_ev_cell": 2.52, "e_tot_ev_per_fu": -9.7}

Entry 2:
{"formula": "Cd2AgTe", "functional": "PBE-GGA", "state": "optimized geometry", "cell": [[-3.736, -4.235, -1.177], [-2.976, -3.995, 2.909], [-3.547, 2.641, 0.505]], "species": ["Cd", "Cd", "Te", "Ag"], "frac_coords": [[0.496, 0.496, 0.486], [0.004, 0.004, 0.014], [0.750, 0.750, 0.750], [0.250, 0.250, 0.250]], "m_tot_mub_per_fu": 0.000, "dos_ef_per_ev_cell": 1.34, "e_tot_ev_per_fu": -7.7}

Entry 3:
{"formula": "Cd2AgTe", "functional": "PBE-GGA", "state": "optimized geometry", "cell": [[3.107, 0.000, 0.000], [0.000, 4.388, 0.000], [0.000, 0.000, 6.980]], "species": ["Te", "Cd", "Cd", "Ag"], "frac_coords": [[0.000, 0.000, 0.521], [0.000, 0.000, 0.985], [0.500, 0.500, 0.213], [0.500, 0.500, 0.781]], "m_tot_mub_per_fu": 0.000, "dos_ef_per_ev_cell": 1.11, "e_tot_ev_per_fu": -7.6}

Entry 4:
{"formula": "CdAgTe2", "functional": "PBE-GGA", "state": "optimized geometry", "cell": [[-2.283, 0.345, 2.228], [0.132, -3.157, -0.556], [7.522, -1.073, 7.873]], "species": ["Te", "Te", "Cd", "Ag"], "frac_coords": [[0.000, 0.000, 0.462], [0.000, 0.000, 0.038], [0.500, 0.500, 0.750], [0.500, 0.500, 0.250]], "m_tot_mub_per_fu": 0.000, "dos_ef_per_ev_cell": 1.60, "e_tot_ev_per_fu": -9.5}

Entry 5:
{"formula": "CdAg4Te", "functional": "PBE-GGA", "state": "optimized geometry", "cell": [[-3.382, -2.095, 3.985], [-5.572, 0.718, -0.373], [-3.333, -4.388, -1.157]], "species": ["Ag", "Ag", "Ag", "Ag", "Cd", "Te"], "frac_coords": [[0.375, 0.375, 0.375], [0.375, 0.375, 0.874], [0.375, 0.874, 0.375], [0.874, 0.375, 0.375], [0.750, 0.750, 0.750], [0.000, 0.000, 0.000]], "m_tot_mub_per_fu": 0.000, "dos_ef_per_ev_cell": 2.84, "e_tot_ev_per_fu": -15.0}

Entry 6:
{"formula": "CdAgTe2", "functional": "PBE-GGA", "state": "optimized geometry", "cell": [[5.459, -0.017, 0.000], [0.976, 5.371, 0.000], [-3.217, -2.677, 3.505]], "species": ["Te", "Te", "Ag", "Cd"], "frac_coords": [[0.500, 0.500, 0.000], [0.000, 0.000, 0.000], [0.250, 0.750, 0.500], [0.750, 0.250, 0.500]], "m_tot_mub_per_fu": 0.000, "dos_ef_per_ev_cell": 2.02, "e_tot_ev_per_fu": -9.4}

Entry 7:
{"formula": "Cd2AgTe", "functional": "PBE-GGA", "state": "optimized geometry", "cell": [[-0.630, 4.170, -1.212], [-1.448, -0.979, -2.614], [-6.206, 0.047, 3.387]], "species": ["Te", "Cd", "Cd", "Ag"], "frac_coords": [[0.000, 0.501, 0.513], [0.500, 0.501, 0.211], [0.000, 0.999, 0.979], [0.500, 0.499, 0.796]], "m_tot_mub_per_fu": 0.000, "dos_ef_per_ev_cell": 1.04, "e_tot_ev_per_fu": -7.9}

Entry 8:
{"formula": "Cd2AgTe", "functional": "PBE-GGA", "state": "optimized geometry", "cell": [[8.265, 0.000, 0.000], [0.000, 8.265, 0.000], [4.133, 4.133, 2.967]], "species": ["Cd", "Cd", "Cd", "Cd", "Te", "Te", "Ag", "Ag"], "frac_coords": [[0.133, 0.625, 0.250], [0.617, 0.125, 0.250], [0.375, 0.383, 0.750], [0.875, 0.867, 0.750], [0.750, 0.250, 0.500], [0.000, 0.000, 0.000], [0.250, 0.750, 0.500], [0.500, 0.500, 0.000]], "m_tot_mub_per_fu": 0.000, "dos_ef_per_ev_cell": 5.25, "e_tot_ev_per_fu": -7.5}

Entry 9:
{"formula": "Cd2AgTe", "functional": "PBE-GGA", "state": "optimized geometry", "cell": [[5.879, 0.391, -0.344], [-3.306, 4.877, -0.344], [0.159, 0.326, 3.167]], "species": ["Cd", "Cd", "Te", "Ag"], "frac_coords": [[0.500, 0.500, 0.000], [0.000, 0.000, 0.000], [0.500, 0.000, 0.500], [0.000, 0.500, 0.500]], "m_tot_mub_per_fu": 0.000, "dos_ef_per_ev_cell": 2.07, "e_tot_ev_per_fu": -7.4}

Entry 10:
{"formula": "Cd2AgTe", "functional": "PBE-GGA", "state": "optimized geometry", "cell": [[9.587, -0.046, -0.027], [8.983, 3.348, -0.027], [8.983, 1.597, 2.943]], "species": ["Cd", "Cd", "Ag", "Te"], "frac_coords": [[0.493, 0.493, 0.493], [0.007, 0.007, 0.007], [0.750, 0.750, 0.750], [0.250, 0.250, 0.250]], "m_tot_mub_per_fu": 0.000, "dos_ef_per_ev_cell": 3.34, "e_tot_ev_per_fu": -7.5}

Entry 11:
{"formula": "Cd2AgTe", "functional": "PBE-GGA", "state": "optimized geometry", "cell": [[4.046, 0.000, 0.000], [0.000, 4.046, 0.000], [0.000, 0.000, 6.003]], "species": ["Te", "Ag", "Cd", "Cd"], "frac_coords": [[0.000, 0.000, 0.472], [0.500, 0.500, 0.795], [0.000, 0.000, 0.968], [0.500, 0.500, 0.265]], "m_tot_mub_per_fu": 0.000, "dos_ef_per_ev_cell": 1.43, "e_tot_ev_per_fu": -7.7}

Entry 12:
{"formula": "CdAgTe2", "functional": "PBE-GGA", "state": "optimized geometry", "cell": [[4.701, 0.000, 0.000], [0.000, 3.638, -0.008], [0.000, 0.025, 7.119]], "species": ["Te", "Te", "Ag", "Cd"], "frac_coords": [[0.000, 0.874, 0.911], [0.500, 0.376, 0.344], [0.000, 0.375, 0.569], [0.500, 0.875, 0.676]], "m_tot_mub_per_fu": 0.000, "dos_ef_per_ev_cell": 0.60, "e_tot_ev_per_fu": -10.4}

Respective raw formation energy values: 0.084, 0.030, 0.049, 0.138, 0.079, 0.168, -0.010, 0.071, 0.117, 0.086, 0.023, -0.093 eV/atom.